Li2CrCu | PBE | optimized geometry

Results
total magnetic moment	4.1	Bohr magnetons per cell
SG	I4/mmm (139)
relative energy among the computed polymorphs	0.16	eV per formula unit

Unit cell a=4.9863 b=4.9863 c=4.9863 alpha=136.31 beta=136.31 gamma=63.49
Site moments in Bohr magnetons follow the coordinates.
Fractional coordinates of all 4 atoms:
Cr1 0.2500 0.7500 0.5000  3.63
Cu1 0.7500 0.2500 0.5000  0.11
Li1 0.0000 0.0000 0.0000  -0.01
Li2 0.5000 0.5000 0.0000  -0.01